DFT (PBE-GGA) results for a relaxed TmZr3Sn2C2 crystal.

Lattice parameters (Å, degrees): 3.4163 3.4163 14.9633 90.00 90.00 120.00
Space group P3m1 (No. 156)
Asymmetric unit:
Tm: 0.0000 0.0000 0.0000 x1
Zr: 0.0000 0.0000 0.6640 x1
Zr: 0.6667 0.3333 0.1729 x1
Zr: 0.6667 0.3333 0.4987 x1
Sn: 0.0000 0.0000 0.3356 x1
Sn: 0.6667 0.3333 0.8268 x1
C: 0.3333 0.6667 0.0922 x1
C: 0.3333 0.6667 0.5815 x1

Output
Theoretical density ... 7.7 g/cm3
V ... 18.91 A^3/atom
E_tot ... -7.810 eV per atom
Total magnetic moment ... 0.0 μB per cell

***

DFT (PBE-GGA) results for a relaxed Ni5W7 crystal.

Lattice parameters (Å, degrees): 5.0753 5.0753 15.9931 90.00 90.00 120.00
Space group P6_3/mmc (No. 194)
Asymmetric unit:
Ni: 0.1537 0.3073 0.2500 x6
Ni: 0.3333 0.6667 0.6551 x4
W: 0.0000 0.0000 0.0972 x4
W: 0.0000 0.5000 0.0000 x6
W: 0.3333 0.6667 0.1372 x4

Output
E_form ... 399 meV per atom
Offset from the most stable computed form ... 2.13 eV/f.u.
Theoretical density ... 14.7 g/cm3
V ... 14.87 A^3/atom
Total magnetic moment ... 0.0 μB per cell

***

DFT (PBE-GGA) results for a relaxed NaGdZnTe3 crystal.

Lattice parameters (Å, degrees): 8.864 4.335 10.415 90.00 105.05 90.00
Space group P2_1/m (No. 11)
Asymmetric unit:
Na: 0.215 0.250 0.247 x2
Gd: 0.321 0.750 0.855 x2
Zn: 0.081 0.250 0.602 x2
Te: 0.070 0.250 0.853 x2
Te: 0.231 0.750 0.534 x2
Te: 0.437 0.750 0.162 x2

Output
Offset from the most stable computed form ... 0.06 eV/f.u.
Theoretical density ... 5.4 g/cm3
V ... 32.21 A^3/atom
Total magnetic moment ... 0.0 μB per cell

***

DFT (PBE-GGA) results for a relaxed LiSm2Ga3 crystal.

Lattice parameters (Å, degrees): 7.405 9.029 15.626 90.00 90.00 90.00
Space group Fmmm (No. 69)
Asymmetric unit:
Li: 0.000 0.000 0.168 x8
Sm: 0.245 0.000 0.000 x8
Sm: 0.250 0.250 0.250 x8
Ga: 0.000 0.000 0.334 x8
Ga: 0.000 0.248 0.416 x16

Output
Theoretical density ... 6.6 g/cm3
V ... 21.77 A^3/atom
E_tot ... -3.955 eV per atom
Total magnetic moment ... 0.1 μB per cell

***

Please write out number 1 again, unchanged.
DFT (PBE-GGA) results for a relaxed TmZr3Sn2C2 crystal.

Lattice parameters (Å, degrees): 3.4163 3.4163 14.9633 90.00 90.00 120.00
Space group P3m1 (No. 156)
Asymmetric unit:
Tm: 0.0000 0.0000 0.0000 x1
Zr: 0.0000 0.0000 0.6640 x1
Zr: 0.6667 0.3333 0.1729 x1
Zr: 0.6667 0.3333 0.4987 x1
Sn: 0.0000 0.0000 0.3356 x1
Sn: 0.6667 0.3333 0.8268 x1
C: 0.3333 0.6667 0.0922 x1
C: 0.3333 0.6667 0.5815 x1

Output
Theoretical density ... 7.7 g/cm3
V ... 18.91 A^3/atom
E_tot ... -7.810 eV per atom
Total magnetic moment ... 0.0 μB per cell

***

Question: Number 4 is which compound?
Answer: LiSm2Ga3

***

Question: The highest theoretical density belongs to which entry?
Answer: Ni5W7